# 1
The following is a DFT calculation (PBE-GGA) of a relaxed LiAg2Ge crystal.

abc: 4.5531 4.5531 7.9944
angles: 90.00 90.00 120.00
Sites, in units of the cell vectors:
Li 0.0000 0.0000 0.0000
Li 0.0000 0.0000 0.5000
Ge 0.3333 0.6667 0.2500
Ge 0.6667 0.3333 0.7500
Ag 0.6667 0.3333 0.4185
Ag 0.3333 0.6667 0.5815
Ag 0.3333 0.6667 0.9185
Ag 0.6667 0.3333 0.0815

Results
E_tot   -3.130 eV/atom
Density   6833 kg/m3
Crystal system   hexagonal

=====

# 2
The following is a DFT calculation (PBE-GGA) of a relaxed LiAg2Ge crystal.

abc: 4.3752 4.3752 8.3060
angles: 90.00 90.00 120.00
Sites, in units of the cell vectors:
Ge 0.0000 0.0000 0.2500
Ge 0.0000 0.0000 0.7500
Ag 0.3333 0.6667 0.0820
Ag 0.6667 0.3333 0.5820
Ag 0.6667 0.3333 0.9180
Ag 0.3333 0.6667 0.4180
Li 0.6667 0.3333 0.2500
Li 0.3333 0.6667 0.7500

Results
E_tot   -3.048 eV/atom
Density   7123 kg/m3
Crystal system   hexagonal

=====

# 3
The following is a DFT calculation (PBE-GGA) of a relaxed LiAg2Ge crystal.

abc: 5.2454 7.7206 7.3625
angles: 90.00 90.00 90.00
Sites, in units of the cell vectors:
Li 0.6101 0.7500 0.9808
Li 0.1101 0.2500 0.5192
Li 0.8899 0.7500 0.4808
Li 0.3899 0.2500 0.0192
Ge 0.0963 0.7500 0.1292
Ge 0.4037 0.7500 0.6292
Ge 0.9037 0.2500 0.8708
Ge 0.5963 0.2500 0.3708
Ag 0.0935 0.9424 0.8201
Ag 0.5935 0.4424 0.6799
Ag 0.4065 0.9424 0.3201
Ag 0.4065 0.5576 0.3201
Ag 0.9065 0.4424 0.1799
Ag 0.5935 0.0576 0.6799
Ag 0.9065 0.0576 0.1799
Ag 0.0935 0.5576 0.8201

Results
E_tot   -3.144 eV/atom
Density   6579 kg/m3
Crystal system   orthorhombic

=====

# 4
The following is a DFT calculation (PBE-GGA) of a relaxed LiAg2Ge crystal.

abc: 3.3651 3.3651 6.0275
angles: 90.00 90.00 90.00
Sites, in units of the cell vectors:
Ag 0.5000 0.5000 0.7605
Ag 0.5000 0.5000 0.2395
Li 0.0000 0.0000 0.0000
Ge 0.0000 0.0000 0.5000

Results
E_tot   -3.118 eV/atom
Density   7184 kg/m3
Crystal system   tetragonal

=====

# 5
The following is a DFT calculation (PBE-GGA) of a relaxed Li4NiAgGe2 crystal.

abc: 4.2364 4.2364 6.1162
angles: 90.00 90.00 90.00
Sites, in units of the cell vectors:
Ge 0.0000 0.5000 0.7170
Ge 0.5000 0.0000 0.2830
Ni 0.5000 0.5000 0.5000
Li 0.0000 0.0000 0.5000
Li 0.0000 0.5000 0.2635
Li 0.5000 0.0000 0.7365
Li 0.5000 0.5000 0.0000
Ag 0.0000 0.0000 0.0000

Results
E_tot   -3.505 eV/atom
Density   5138 kg/m3
Crystal system   tetragonal
M_tot   0.0 μB/cell

=====

# 6
The following is a DFT calculation (PBE-GGA) of a relaxed LiAgGeO3 crystal.

abc: 8.4682 2.8971 10.5302
angles: 90.00 90.00 90.00
Sites, in units of the cell vectors:
O 0.2221 0.5000 0.3152
O 0.7514 0.5000 0.9583
O 0.9903 0.5000 0.1030
O 0.2779 0.5000 0.8152
O 0.7486 0.5000 0.4583
O 0.0097 0.0000 0.8970
O 0.7779 0.0000 0.6848
O 0.2514 0.0000 0.5417
O 0.4903 0.0000 0.3970
O 0.5097 0.5000 0.6030
O 0.7221 0.0000 0.1848
O 0.2486 0.0000 0.0417
Ag 0.9825 0.5000 0.3820
Ag 0.5175 0.5000 0.8820
Ag 0.0175 0.0000 0.6180
Ag 0.4825 0.0000 0.1180
Ge 0.1507 0.5000 0.9520
Ge 0.3493 0.5000 0.4520
Ge 0.8493 0.0000 0.0480
Ge 0.6507 0.0000 0.5480
Li 0.1655 0.0000 0.2102
Li 0.3345 0.0000 0.7102
Li 0.6655 0.5000 0.2898
Li 0.8345 0.5000 0.7898

Results
E_tot   -5.378 eV/atom
Density   6054 kg/m3
Crystal system   orthorhombic

=====

# 7
The following is a DFT calculation (PBE-GGA) of a relaxed Li4Ag2GePb crystal.

abc: 4.5157 4.5157 6.7125
angles: 90.00 90.00 90.00
Sites, in units of the cell vectors:
Li 0.5000 0.0000 0.7779
Li 0.0000 0.5000 0.2221
Li 0.5000 0.5000 0.5000
Li 0.0000 0.0000 0.0000
Ge 0.5000 0.5000 0.0000
Ag 0.0000 0.5000 0.7786
Ag 0.5000 0.0000 0.2214
Pb 0.0000 0.0000 0.5000

Results
E_tot   -2.996 eV/atom
Density   6349 kg/m3
Crystal system   tetragonal

=====

# 8
The following is a DFT calculation (PBE-GGA) of a relaxed Li4AgGePd2 crystal.

abc: 4.4264 4.4264 6.0252
angles: 90.00 90.00 90.00
Sites, in units of the cell vectors:
Li 0.5000 0.5000 0.5000
Li 0.5000 0.0000 0.7473
Li 0.0000 0.5000 0.2527
Li 0.0000 0.0000 0.0000
Pd 0.0000 0.5000 0.7874
Pd 0.5000 0.0000 0.2126
Ag 0.0000 0.0000 0.5000
Ge 0.5000 0.5000 0.0000

Results
E_tot   -3.627 eV/atom
Density   5923 kg/m3
Crystal system   tetragonal

=====

E_tot of number 6 (LiAgGeO3)?
-5.378 eV/atom

=====

density of number 2 (LiAg2Ge)?
7123 kg/m3

=====

Which of these has the lowest E_tot?
LiAgGeO3